(1)
The following is a DFT calculation (GGA-PBE) of AlCuO after structural relaxation.

Unit cell a=6.264 b=6.264 c=3.758 alpha=95.67 beta=95.67 gamma=28.49
Fractional positions:
Al 0.180 0.180 0.225
Al 0.820 0.820 0.775
Cu 0.000 0.000 0.500
Cu 0.500 0.500 0.000
O 0.228 0.228 0.744
O 0.772 0.772 0.256

Results
- N(E_F) (states/eV per atom) = 0.059
- formation energy from raw total energies (eV per atom) = -1.424
- ΔE to the lowest computed polymorph (eV/atom) = 0.034
- crystal system = monoclinic
- total magnetization (μB/f.u.) = 0.0

(2)
The following is a DFT calculation (GGA-PBE) of KSi2BO6 after structural relaxation.

Unit cell a=4.783 b=10.107 c=10.573 alpha=90.00 beta=90.00 gamma=90.00
Fractional positions:
K 0.203 0.034 0.310
K 0.297 0.966 0.810
K 0.703 0.466 0.690
K 0.797 0.534 0.190
Si 0.214 0.391 0.435
Si 0.234 0.302 0.925
Si 0.266 0.698 0.425
Si 0.286 0.609 0.935
Si 0.714 0.109 0.565
Si 0.734 0.198 0.075
Si 0.766 0.802 0.575
Si 0.786 0.891 0.065
B 0.211 0.232 0.657
B 0.289 0.768 0.157
B 0.711 0.268 0.343
B 0.789 0.732 0.843
O 0.010 0.306 0.342
O 0.025 0.802 0.473
O 0.042 0.122 0.605
O 0.118 0.256 0.789
O 0.129 0.549 0.422
O 0.170 0.357 0.585
O 0.330 0.643 0.085
O 0.371 0.451 0.922
O 0.382 0.744 0.289
O 0.458 0.878 0.105
O 0.475 0.198 0.973
O 0.490 0.694 0.842
O 0.510 0.194 0.658
O 0.525 0.698 0.527
O 0.542 0.378 0.395
O 0.618 0.244 0.211
O 0.629 0.951 0.578
O 0.670 0.143 0.415
O 0.830 0.857 0.915
O 0.871 0.049 0.078
O 0.882 0.756 0.711
O 0.958 0.622 0.895
O 0.975 0.302 0.027
O 0.990 0.806 0.158

Results
- N(E_F) (states/eV per atom) = 0.000
- formation energy from raw total energies (eV per atom) = -2.636
- ΔE to the lowest computed polymorph (eV/atom) = 0.000
- crystal system = orthorhombic
- total magnetization (μB/f.u.) = 0.0

(3)
The following is a DFT calculation (GGA-PBE) of K6MnI8 after structural relaxation.

Unit cell a=9.134 b=9.134 c=9.134 alpha=70.14 beta=70.14 gamma=70.14
Fractional positions:
K 0.023 0.443 0.799
K 0.201 0.977 0.557
K 0.443 0.799 0.023
K 0.557 0.201 0.977
K 0.799 0.023 0.443
K 0.977 0.557 0.201
Mn 0.500 0.500 0.500
I 0.157 0.157 0.157
I 0.192 0.653 0.405
I 0.347 0.595 0.808
I 0.405 0.192 0.653
I 0.595 0.808 0.347
I 0.653 0.405 0.192
I 0.808 0.347 0.595
I 0.843 0.843 0.843

Results
- N(E_F) (states/eV per atom) = 0.000
- formation energy from raw total energies (eV per atom) = -1.227
- crystal system = trigonal
- total magnetization (μB/f.u.) = 5.0

(4)
The following is a DFT calculation (GGA-PBE) of BeOsRu after structural relaxation.

Unit cell a=4.718 b=4.718 c=5.023 alpha=116.98 beta=116.98 gamma=49.42
Fractional positions:
Be 0.156 0.156 0.123
Be 0.844 0.844 0.877
Os 0.474 0.474 0.222
Os 0.526 0.526 0.778
Ru 0.176 0.176 0.632
Ru 0.824 0.824 0.368

Results
- N(E_F) (states/eV per atom) = 0.556
- ΔE_f (kJ per mole of atoms) = -6
- crystal system = monoclinic
- total magnetization (μB/f.u.) = 0.0

(5)
The following is a DFT calculation (GGA-PBE) of Ca2AlCdO5 after structural relaxation.

Unit cell a=6.747 b=6.747 c=10.668 alpha=90.00 beta=90.00 gamma=151.37
Fractional positions:
Ca 0.087 0.913 0.500
Ca 0.151 0.849 0.155
Ca 0.849 0.151 0.655
Ca 0.913 0.087 0.000
Al 0.469 0.531 0.271
Al 0.531 0.469 0.771
Cd 0.216 0.784 0.874
Cd 0.784 0.216 0.374
O 0.042 0.958 0.843
O 0.267 0.733 0.522
O 0.323 0.677 0.238
O 0.387 0.613 0.828
O 0.494 0.506 0.609
O 0.506 0.494 0.109
O 0.613 0.387 0.328
O 0.677 0.323 0.738
O 0.733 0.267 0.022
O 0.958 0.042 0.343

Results
- N(E_F) (states/eV per atom) = 0.389
- formation energy from raw total energies (eV per atom) = -2.279
- crystal system = orthorhombic
- total magnetization (μB/f.u.) = 1.0

(6)
The following is a DFT calculation (GGA-PBE) of La2Tb5Nd3 after structural relaxation.

Unit cell a=10.045 b=10.045 c=9.223 alpha=108.28 beta=108.28 gamma=115.07
Fractional positions:
La 0.021 0.275 0.044
La 0.275 0.021 0.544
La 0.725 0.979 0.456
La 0.979 0.725 0.956
Tb 0.120 0.384 0.749
Tb 0.222 0.778 0.750
Tb 0.278 0.722 0.250
Tb 0.384 0.120 0.249
Tb 0.474 0.526 0.250
Tb 0.526 0.474 0.750
Tb 0.616 0.880 0.751
Tb 0.722 0.278 0.750
Tb 0.778 0.222 0.250
Tb 0.880 0.616 0.251
Nd 0.024 0.976 0.750
Nd 0.230 0.482 0.460
Nd 0.482 0.230 0.960
Nd 0.518 0.770 0.040
Nd 0.770 0.518 0.540
Nd 0.976 0.024 0.250

Results
- N(E_F) (states/eV per atom) = 1.428
- ΔE_f (kJ per mole of atoms) = 17
- crystal system = monoclinic
- total magnetization (μB/f.u.) = 0.0

(7)
The following is a DFT calculation (GGA-PBE) of BaTaBe after structural relaxation.

Unit cell a=4.868 b=4.868 c=4.868 alpha=60.00 beta=60.00 gamma=60.00
Fractional positions:
Ba 0.000 0.000 0.000
Ta 0.750 0.750 0.750
Be 0.250 0.250 0.250

Results
- N(E_F) (states/eV per atom) = 1.577
- ΔE_f (kJ per mole of atoms) = 225
- ΔE to the lowest computed polymorph (eV/atom) = 1.578
- crystal system = cubic
- total magnetization (μB/f.u.) = 1.0

(8)
The following is a DFT calculation (GGA-PBE) of K3Th2TaAs6 after structural relaxation.

Unit cell a=7.212 b=7.212 c=8.277 alpha=98.41 beta=98.41 gamma=120.11
Fractional positions:
K 0.000 0.000 0.000
K 0.327 0.673 0.000
K 0.673 0.327 0.000
Th 0.166 0.834 0.500
Th 0.834 0.166 0.500
Ta 0.500 0.500 0.500
As 0.133 0.435 0.304
As 0.266 0.266 0.698
As 0.435 0.133 0.304
As 0.565 0.867 0.696
As 0.734 0.734 0.302
As 0.867 0.565 0.696

Results
- N(E_F) (states/eV per atom) = 1.265
- ΔE_f (kJ per mole of atoms) = -61
- crystal system = monoclinic
- total magnetization (μB/f.u.) = 0.0

total magnetization of number 7 (BaTaBe)?
1.0 μB/f.u.